# 1
Below is Sc4AlRu3 after structural relaxation, with properties calculated at the GGA-PBE level.

Cell lengths 4.5734, 4.5734, 6.5739 Å; angles 90.00, 90.00, 90.00 degrees
Fractional coordinates of all 8 atoms:
Sc 0.0000 0.5000 0.2373
Sc 0.0000 0.5000 0.7627
Sc 0.5000 0.0000 0.2373
Sc 0.5000 0.0000 0.7627
Al 0.0000 0.0000 0.5000
Ru 0.0000 0.0000 0.0000
Ru 0.5000 0.5000 0.0000
Ru 0.5000 0.5000 0.5000

Summary:
formation energy from the elements = -570 meV per atom
density of states at the Fermi level = 4.06 states/eV/cell

---

# 2
Below is RbYSb2Ru after structural relaxation, with properties calculated at the GGA-PBE level.

Cell lengths 5.3761, 5.3761, 5.1964 Å; angles 90.00, 90.00, 90.00 degrees
Fractional coordinates of all 5 atoms:
Rb 0.0000 0.0000 0.0000
Y 0.5000 0.5000 0.0000
Sb 0.0000 0.5000 0.5000
Sb 0.5000 0.0000 0.5000
Ru 0.5000 0.5000 0.5000

Summary:
formation energy (no corrections) = -0.038 eV/atom
density of states at the Fermi level = 2.87 states/eV/cell

---

# 3
Below is ThMgGa2Ni4 after structural relaxation, with properties calculated at the GGA-PBE level.

Cell lengths 8.6969, 8.6969, 8.6969 Å; angles 27.42, 27.42, 27.42 degrees
Fractional coordinates of all 8 atoms:
Th 0.0000 0.0000 0.0000
Mg 0.5000 0.5000 0.5000
Ga 0.2364 0.2364 0.2364
Ga 0.7636 0.7636 0.7636
Ni 0.1252 0.1252 0.1252
Ni 0.4010 0.4010 0.4010
Ni 0.5990 0.5990 0.5990
Ni 0.8748 0.8748 0.8748

Summary:
formation energy from the elements = -415 meV per atom
density of states at the Fermi level = 6.40 states/eV/cell